# 1
A plane-wave DFT calculation with PBE-GGA was carried out for crystalline Li4TlAg2Pb at its relaxed geometry.

extended XYZ file:
```
8
Lattice="4.720 0.000 0.000 0.000 4.720 0.000 0.000 0.000 6.634" Properties=species:S:1:pos:R:3 pbc="T T T"
Li 0.000 0.000 0.000
Li 0.000 2.360 1.628
Li 2.360 0.000 5.006
Li 2.360 2.360 3.317
Tl 2.360 2.360 0.000
Ag 0.000 2.360 4.993
Ag 2.360 0.000 1.641
Pb 0.000 0.000 3.317
```

# 2
A plane-wave DFT calculation with PBE-GGA was carried out for crystalline SbAsAuO at its relaxed geometry.

extended XYZ file:
```
8
Lattice="3.886 0.000 0.000 0.000 3.886 0.000 0.000 0.000 9.510" Properties=species:S:1:pos:R:3 pbc="T T T"
Sb 0.971 0.971 1.232
Sb 2.914 2.914 8.278
As 0.971 0.971 6.667
As 2.914 2.914 2.844
Au 0.971 2.914 4.755
Au 2.914 0.971 4.755
O 0.971 2.914 0.000
O 2.914 0.971 0.000
```

# 3
A plane-wave DFT calculation with PBE-GGA was carried out for crystalline NdErSe2 at its relaxed geometry.

extended XYZ file:
```
4
Lattice="4.132 0.000 0.000 0.000 4.132 0.000 0.000 0.000 5.847" Properties=species:S:1:pos:R:3 pbc="T T T"
Nd 0.000 0.000 0.000
Er 2.066 2.066 2.924
Se 0.000 0.000 2.924
Se 2.066 2.066 0.000
```

# 4
A plane-wave DFT calculation with PBE-GGA was carried out for crystalline LaGe2Au2 at its relaxed geometry.

extended XYZ file:
```
10
Lattice="4.488 0.000 0.000 0.000 4.557 0.000 -0.176 0.000 10.536" Properties=species:S:1:pos:R:3 pbc="T T T"
La 1.026 1.139 2.680
La 3.287 3.418 7.856
Ge 0.793 3.418 10.478
Ge 0.946 1.139 6.650
Ge 3.366 3.418 3.887
Ge 3.519 1.139 0.058
Au 1.116 3.418 5.297
Au 1.168 1.139 9.169
Au 3.145 3.418 1.367
Au 3.197 1.139 5.239
```

Uncorrected energy values, unit eV for the cell shown, following the record order: -21.29; -36.38; -23.24; -47.54.